No. 1
Pr2Er3Sc2 | PBE | optimized geometry

The volume is 30.21 Å³ per atom. Its total moment is 0.0 Bohr magnetons per cell. The total DFT energy (no corrections) is -5.078 eV per atom. Its energy relative to the elements is 0.052 eV/atom. The energy above the most stable polymorph in this dataset is 0.018 eV/atom. The density is 6.86 Mg/m³.

abc: 4.9779 6.0205 7.8359
angles: 97.79 90.00 114.42
Element x y z (fractional)
Er1 0.3562 0.7124 0.5709
Er2 0.5000 0.0000 0.0000
Er3 0.6438 0.2876 0.4291
Sc1 0.2150 0.4299 0.1417
Sc2 0.7850 0.5701 0.8583
Pr1 0.9259 0.8518 0.2756
Pr2 0.0741 0.1482 0.7244



No. 2
PrEr6Sc4 | PBE | optimized geometry

The volume is 28.99 Å³ per atom. Its total moment is 0.0 Bohr magnetons per cell. The total DFT energy (no corrections) is -5.112 eV per atom. Its energy relative to the elements is 0.114 eV/atom. The energy above the most stable polymorph in this dataset is 0.000 eV/atom. The density is 6.89 Mg/m³.

abc: 5.4544 5.4374 24.8606
angles: 90.00 90.00 120.10
Element x y z (fractional)
Er1 0.5000 0.0000 0.0000
Er2 0.1706 0.3412 0.9043
Er3 0.1706 0.3412 0.5957
Er4 0.5000 0.0000 0.5000
Er5 0.8294 0.6588 0.0957
Er6 0.8379 0.6759 0.6771
Er7 0.8379 0.6759 0.8229
Er8 0.5047 0.0095 0.7500
Er9 0.1621 0.3241 0.1771
Er10 0.1621 0.3241 0.3229
Er11 0.8294 0.6588 0.4043
Er12 0.4953 0.9905 0.2500
Sc1 0.1650 0.3300 0.0422
Sc2 0.8350 0.6700 0.9578
Sc3 0.4953 0.9906 0.3774
Sc4 0.5047 0.0094 0.8774
Sc5 0.5047 0.0094 0.6226
Sc6 0.4953 0.9906 0.1226
Sc7 0.1650 0.3300 0.4578
Sc8 0.8350 0.6700 0.5422
Pr1 0.1710 0.3420 0.7500
Pr2 0.8290 0.6580 0.2500



No. 3
PrEr8Sc4 | PBE | optimized geometry

The volume is 29.31 Å³ per atom. Its total moment is 0.0 Bohr magnetons per cell. The total DFT energy (no corrections) is -4.878 eV per atom. Its energy relative to the elements is 0.246 eV/atom. The density is 7.23 Mg/m³.

abc: 7.0779 7.0779 9.6857
angles: 90.00 111.43 120.00
Element x y z (fractional)
Er1 0.4385 0.2193 0.6578
Er2 0.0451 0.7978 0.2924
Er3 0.4945 0.2473 0.2924
Er4 0.5055 0.7527 0.7076
Er5 0.9549 0.7527 0.7076
Er6 0.9549 0.2022 0.7076
Er7 0.0451 0.2473 0.2924
Er8 0.5615 0.7807 0.3422
Sc1 0.0000 0.5000 0.0000
Sc2 0.5000 0.5000 0.0000
Sc3 0.5000 0.0000 0.0000
Sc4 0.0000 0.0000 0.0000
Pr1 0.0000 0.5000 0.5000



No. 4
Pr5Er6Sc2 | PBE | optimized geometry

The volume is 32.14 Å³ per atom. Its total moment is 0.0 Bohr magnetons per cell. The total DFT energy (no corrections) is -4.857 eV per atom. Its energy relative to the elements is 0.061 eV/atom. The density is 7.15 Mg/m³.

abc: 3.6062 11.3207 20.4712
angles: 90.00 90.00 90.00
Element x y z (fractional)
Sc1 0.0000 0.1107 0.7857
Sc2 0.0000 0.8893 0.2143
Sc3 0.0000 0.3893 0.2857
Sc4 0.0000 0.6107 0.7143
Pr1 0.5000 0.5633 0.5762
Pr2 0.5000 0.5000 0.0000
Pr3 0.5000 0.8511 0.7768
Pr4 0.5000 0.3511 0.7232
Pr5 0.5000 0.1489 0.2232
Pr6 0.5000 0.0633 0.9238
Pr7 0.5000 0.6489 0.2768
Pr8 0.5000 0.9367 0.0762
Pr9 0.5000 0.4367 0.4238
Pr10 0.5000 0.0000 0.5000
Er1 0.5000 0.4206 0.1550
Er2 0.0000 0.1672 0.3831
Er3 0.0000 0.2765 0.5565
Er4 0.0000 0.3328 0.8831
Er5 0.0000 0.8328 0.6169
Er6 0.5000 0.5794 0.8450
Er7 0.5000 0.0794 0.6550
Er8 0.5000 0.9206 0.3450
Er9 0.0000 0.6672 0.1169
Er10 0.0000 0.7765 0.9435
Er11 0.0000 0.2235 0.0565
Er12 0.0000 0.7235 0.4435



No. 5
PrEr5Sc5 | PBE | optimized geometry

The volume is 29.73 Å³ per atom. Its total moment is 2.9 Bohr magnetons per cell. The total DFT energy (no corrections) is -5.146 eV per atom. Its energy relative to the elements is 0.241 eV/atom. The density is 6.10 Mg/m³.

abc: 5.7901 5.7901 11.2647
angles: 90.00 90.00 120.00
Element x y z (fractional)
Er1 0.6667 0.3333 0.1638
Er2 0.6667 0.3333 0.8362
Er3 0.0000 0.0000 0.0000
Er4 0.3333 0.6667 0.3253
Er5 0.3333 0.6667 0.6747
Sc1 0.0000 0.0000 0.2691
Sc2 0.8353 0.6707 0.5000
Sc3 0.0000 0.0000 0.7309
Sc4 0.8353 0.1647 0.5000
Sc5 0.3293 0.1647 0.5000
Pr1 0.3333 0.6667 0.0000



No. 6
PrEr3Sc2 | PBE | optimized geometry

The volume is 30.05 Å³ per atom. Its total moment is 0.0 Bohr magnetons per cell. The total DFT energy (no corrections) is -5.037 eV per atom. Its energy relative to the elements is 0.151 eV/atom. The energy above the most stable polymorph in this dataset is 0.000 eV/atom. The density is 6.75 Mg/m³.

abc: 3.3983 9.8962 11.4055
angles: 107.88 98.57 90.00
Element x y z (fractional)
Sc1 0.6923 0.3755 0.3846
Sc2 0.0684 0.1433 0.1367
Sc3 0.9316 0.8567 0.8633
Sc4 0.3077 0.6245 0.6154
Er1 0.6968 0.7089 0.3936
Er2 0.0663 0.7658 0.1326
Er3 0.9337 0.2342 0.8674
Er4 0.3032 0.2911 0.6064
Er5 0.4398 0.5619 0.8797
Er6 0.5602 0.4381 0.1203
Pr1 0.6808 0.0459 0.3617
Pr2 0.3192 0.9541 0.6383



No. 7
PrEr6Sc2 | PBE | optimized geometry

The volume is 31.04 Å³ per atom. Its total moment is 0.0 Bohr magnetons per cell. The total DFT energy (no corrections) is -4.572 eV per atom. Its energy relative to the elements is 0.408 eV/atom. The energy above the most stable polymorph in this dataset is 0.298 eV/atom. The density is 7.34 Mg/m³.

abc: 7.1703 7.1703 7.5166
angles: 61.51 61.51 60.00
Element x y z (fractional)
Er1 0.6122 0.0458 0.2962
Er2 0.2639 0.2640 0.6925
Er3 0.7796 0.2639 0.6925
Er4 0.2640 0.7796 0.6925
Er5 0.0457 0.6122 0.2962
Er6 0.0458 0.0457 0.2962
Sc1 0.7565 0.7565 0.7304
Sc2 0.5802 0.5802 0.2593
Pr1 0.3176 0.3176 0.0471



No. 8
Pr2Er6Sc5 | PBE | optimized geometry

The volume is 29.54 Å³ per atom. Its total moment is 0.0 Bohr magnetons per cell. The total DFT energy (no corrections) is -5.153 eV per atom. Its energy relative to the elements is 0.123 eV/atom. The density is 6.53 Mg/m³.

abc: 3.4704 11.3971 19.4168
angles: 90.00 90.00 90.00
Element x y z (fractional)
Sc1 0.5000 0.8009 0.0486
Sc2 0.5000 0.5000 0.0000
Sc3 0.5000 0.6991 0.5486
Sc4 0.5000 0.6068 0.2787
Sc5 0.5000 0.8932 0.7787
Sc6 0.5000 0.1991 0.9514
Sc7 0.5000 0.0000 0.5000
Sc8 0.5000 0.1068 0.2213
Sc9 0.5000 0.3009 0.4514
Sc10 0.5000 0.3932 0.7213
Er1 0.5000 0.1765 0.6187
Er2 0.0000 0.9445 0.9210
Er3 0.0000 0.0555 0.0790
Er4 0.5000 0.3235 0.1187
Er5 0.0000 0.9127 0.6338
Er6 0.5000 0.6765 0.8813
Er7 0.0000 0.4445 0.5790
Er8 0.0000 0.4127 0.8662
Er9 0.5000 0.8235 0.3813
Er10 0.0000 0.0873 0.3662
Er11 0.0000 0.5873 0.1338
Er12 0.0000 0.5555 0.4210
Pr1 0.0000 0.3470 0.2815
Pr2 0.0000 0.8470 0.2185
Pr3 0.0000 0.6530 0.7185
Pr4 0.0000 0.1530 0.7815



No. 9
Pr2ErSc3 | PBE | optimized geometry

The volume is 29.37 Å³ per atom. Its total moment is 0.0 Bohr magnetons per cell. The total DFT energy (no corrections) is -5.437 eV per atom. Its energy relative to the elements is 0.082 eV/atom. The density is 5.50 Mg/m³.

abc: 5.3380 8.5492 9.7305
angles: 121.47 90.00 108.19
Element x y z (fractional)
Sc1 0.2581 0.5162 0.5739
Sc2 0.6170 0.2340 0.5966
Sc3 0.7419 0.4838 0.4261
Sc4 0.0251 0.0503 0.3744
Sc5 0.3830 0.7660 0.4034
Sc6 0.9749 0.9497 0.6256
Er1 0.1320 0.2640 0.1496
Er2 0.8680 0.7360 0.8504
Pr1 0.2206 0.4413 0.8614
Pr2 0.7794 0.5587 0.1386
Pr3 0.4868 0.9736 0.1648
Pr4 0.5132 0.0264 0.8352



No. 10
Pr7Er4Sc | PBE | optimized geometry

The volume is 33.26 Å³ per atom. Its total moment is 0.0 Bohr magnetons per cell. The total DFT energy (no corrections) is -4.805 eV per atom. Its energy relative to the elements is 0.032 eV/atom. The density is 7.07 Mg/m³.

abc: 7.2218 9.5494 9.5552
angles: 68.98 78.83 40.85
Element x y z (fractional)
Pr1 0.9989 0.6700 0.3312
Pr2 0.0011 0.3300 0.6688
Pr3 0.5000 0.0000 0.0000
Pr4 0.2463 0.8369 0.6663
Pr5 0.7436 0.5028 0.0020
Pr6 0.7537 0.1631 0.3337
Pr7 0.2564 0.4972 0.9980
Er1 0.7535 0.8314 0.6642
Er2 0.5019 0.3326 0.6678
Er3 0.2465 0.1686 0.3358
Er4 0.4981 0.6674 0.3322
Sc1 0.0000 0.0000 0.0000



No. 11
Pr3Er4Sc | PBE | optimized geometry

The volume is 32.16 Å³ per atom. Its total moment is 0.0 Bohr magnetons per cell. The total DFT energy (no corrections) is -4.830 eV per atom. Its energy relative to the elements is 0.035 eV/atom. The energy above the most stable polymorph in this dataset is 0.000 eV/atom. The density is 7.34 Mg/m³.

abc: 6.2362 7.2711 11.3494
angles: 90.00 90.00 90.00
Element x y z (fractional)
Pr1 0.6485 0.3753 0.2503
Pr2 0.6485 0.3753 0.7497
Pr3 0.1485 0.6247 0.2497
Pr4 0.1485 0.6247 0.7503
Pr5 0.4829 0.6280 0.0000
Pr6 0.9829 0.3720 0.5000
Er1 0.1442 0.1227 0.2444
Er2 0.4794 0.1210 0.5000
Er3 0.1442 0.1227 0.7556
Er4 0.6442 0.8773 0.7444
Er5 0.4815 0.1225 0.0000
Er6 0.9815 0.8775 0.5000
Er7 0.6442 0.8773 0.2556
Er8 0.9794 0.8790 0.0000
Sc1 0.9861 0.3673 0.0000
Sc2 0.4861 0.6327 0.5000



No. 12
Pr2Er3Sc | PBE | optimized geometry

The volume is 31.25 Å³ per atom. Its total moment is 0.0 Bohr magnetons per cell. The total DFT energy (no corrections) is -4.889 eV per atom. Its energy relative to the elements is 0.041 eV/atom. The energy above the most stable polymorph in this dataset is 0.000 eV/atom. The density is 7.34 Mg/m³.

abc: 4.9867 11.1977 7.9036
angles: 115.00 108.39 90.00
Element x y z (fractional)
Er1 0.9551 0.6210 0.9103
Er2 0.0449 0.3790 0.0897
Er3 0.2917 0.6256 0.5834
Er4 0.3740 0.3772 0.7480
Er5 0.6260 0.6228 0.2520
Er6 0.7083 0.3744 0.4166
Sc1 0.8755 0.8729 0.7511
Sc2 0.1245 0.1271 0.2489
Pr1 0.4625 0.1257 0.9250
Pr2 0.5375 0.8743 0.0750
Pr3 0.7894 0.1271 0.5789
Pr4 0.2106 0.8729 0.4211